Record 1
Tc2HgMoO at its PBEsol-relaxed geometry. Source: Alexandria, functional SCAN.

Values from the calculation:
* ΔE_f (raw): 0.557 eV per atom

Unit cell a=3.9013 b=3.9013 c=4.8595 alpha=90.00 beta=90.00 gamma=90.00
Last column: nearest neighbours and their distance in Å.
Fractional coordinates of all 5 atoms:
1 Mo 0.5000 0.5000 0.5000  4 Hg 2.76
2 Hg 0.0000 0.0000 0.5000  2 O 2.43
3 O 0.0000 0.0000 0.0000  4 Tc 1.95
4 Tc 0.0000 0.5000 0.0000  2 O 1.95
5 Tc 0.5000 0.0000 0.0000  2 O 1.95



Record 2
TlHgMoO2 at its PBEsol-relaxed geometry. Source: Alexandria, functional SCAN.

Values from the calculation:
* ΔE_f (raw): -0.850 eV per atom

Unit cell a=3.8897 b=3.8897 c=5.8024 alpha=90.00 beta=90.00 gamma=90.00
Last column: nearest neighbours and their distance in Å.
Fractional coordinates of all 5 atoms:
1 Mo 0.0000 0.0000 0.0000  4 O 1.94
2 Tl 0.0000 0.0000 0.5000  4 Hg 2.75, 2 Mo 2.90
3 Hg 0.5000 0.5000 0.5000  4 Tl 2.75
4 O 0.0000 0.5000 0.0000  2 Mo 1.94
5 O 0.5000 0.0000 0.0000  2 Mo 1.94



Record 3
Hg2MoOs at its PBEsol-relaxed geometry. Source: Alexandria, functional SCAN.

Values from the calculation:
* energy above the lowest structure with this stoichiometry: 0.614 eV/f.u.
* formation energy: 938 meV/atom

Unit cell a=3.9542 b=3.9542 c=5.1616 alpha=112.52 beta=112.52 gamma=90.00
Last column: nearest neighbours and their distance in Å.
Fractional coordinates of all 4 atoms:
1 Hg 0.7500 0.2500 0.5000  4 Hg 2.80, 4 Mo 2.94, 4 Os 2.94
2 Hg 0.2500 0.7500 0.5000  4 Hg 2.80, 4 Mo 2.94, 4 Os 2.94
3 Mo 0.5000 0.5000 0.0000  4 Os 2.80, 8 Hg 2.94
4 Os 0.0000 0.0000 0.0000  4 Mo 2.80, 8 Hg 2.94



Record 4
Hg2MoOs at its PBEsol-relaxed geometry. Source: Alexandria, functional SCAN.

Values from the calculation:
* energy above the lowest structure with this stoichiometry: 0.300 eV/f.u.
* formation energy: 859 meV/atom

Unit cell a=2.9629 b=4.7718 c=4.8587 alpha=90.00 beta=90.00 gamma=90.00
Last column: nearest neighbours and their distance in Å.
Fractional coordinates of all 4 atoms:
1 Hg 0.0000 0.0000 0.0000  6 Hg 2.81-2.96, 4 Mo 2.85
2 Hg 0.5000 0.5000 0.0000  6 Hg 2.81-2.96, 4 Os 2.85
3 Mo 0.5000 0.0000 0.5000  4 Os 2.81, 4 Hg 2.85, 2 Mo 2.96
4 Os 0.0000 0.5000 0.5000  4 Mo 2.81, 4 Hg 2.85, 2 Os 2.96



Record 5
Hg2MoOs at its PBEsol-relaxed geometry. Source: Alexandria, functional SCAN.

Values from the calculation:
* energy above the lowest structure with this stoichiometry: 0.000 eV/f.u.
* formation energy: 784 meV/atom

Unit cell a=2.9193 b=4.9640 c=4.9571 alpha=99.83 beta=107.12 gamma=90.00
Last column: nearest neighbours and their distance in Å.
Fractional coordinates of all 4 atoms:
1 Hg 0.2511 0.2514 0.5022  3 Mo 2.86-2.88, 3 Os 2.86-2.87, 6 Hg 2.87-2.92
2 Hg 0.7489 0.7486 0.4978  3 Mo 2.86-2.88, 3 Os 2.86-2.87, 6 Hg 2.87-2.92
3 Mo 0.5000 0.0000 0.0000  6 Hg 2.86-2.88, 4 Os 2.88, 2 Mo 2.92
4 Os 0.0000 0.5000 0.0000  6 Hg 2.86-2.87, 4 Mo 2.88, 2 Os 2.92



Record 6
HgMo3P at its PBEsol-relaxed geometry. Source: Alexandria, functional SCAN.

Values from the calculation:
* formation energy: 647 meV/atom

Unit cell a=4.4301 b=4.4301 c=4.4301 alpha=90.00 beta=90.00 gamma=90.00
Last column: nearest neighbours and their distance in Å.
Fractional coordinates of all 5 atoms:
1 P 0.0000 0.0000 0.0000  6 Mo 2.22
2 Mo 0.0000 0.5000 0.0000  2 P 2.22
3 Mo 0.0000 0.0000 0.5000  2 P 2.22
4 Mo 0.5000 0.0000 0.0000  2 P 2.22
5 Hg 0.5000 0.5000 0.5000  12 Mo 3.13



Record 7
Hg2MoP at its PBEsol-relaxed geometry. Source: Alexandria, functional SCAN.

Values from the calculation:
* energy above the lowest structure with this stoichiometry: 2.032 eV/f.u.
* formation energy: 795 meV/atom

Unit cell a=2.8541 b=2.8541 c=9.1037 alpha=90.00 beta=90.00 gamma=103.68
Last column: nearest neighbours and their distance in Å.
Fractional coordinates of all 4 atoms:
1 Hg 0.0000 0.0000 0.2530  4 Hg 2.85, 4 Mo 2.86-3.18, 2 P 2.90
2 Hg 0.0000 0.0000 0.7470  4 Hg 2.85, 4 Mo 2.86-3.18, 2 P 2.90
3 Mo 0.5000 0.5000 0.5000  4 Mo 2.85, 8 Hg 2.86-3.18
4 P 0.5000 0.5000 0.0000  4 P 2.85, 4 Hg 2.90



Record 8
Hg2MoP at its PBEsol-relaxed geometry. Source: Alexandria, functional SCAN.

Values from the calculation:
* energy above the lowest structure with this stoichiometry: 1.499 eV/f.u.
* formation energy: 662 meV/atom

Unit cell a=2.8453 b=4.9374 c=5.2117 alpha=90.00 beta=90.00 gamma=83.54
Last column: nearest neighbours and their distance in Å.
Fractional coordinates of all 4 atoms:
1 Hg 0.7490 0.2474 0.0000  6 Hg 2.69-3.01, 2 P 2.94, 2 Mo 3.00
2 Hg 0.2510 0.7526 0.0000  6 Hg 2.69-3.01, 2 P 2.94, 2 Mo 3.00
3 Mo 0.5000 0.0000 0.5000  2 P 2.47
4 P 0.5000 0.5000 0.5000  2 Mo 2.47



Record 9
Hg4MoP at its PBEsol-relaxed geometry. Source: Alexandria, functional SCAN.

Values from the calculation:
* formation energy: 949 meV/atom

Unit cell a=5.6098 b=5.6098 c=5.6098 alpha=60.00 beta=60.00 gamma=60.00
Last column: nearest neighbours and their distance in Å.
Fractional coordinates of all 6 atoms:
1 Hg 0.3750 0.3750 0.3750  6 Hg 2.80-2.81
2 Hg 0.3750 0.3750 0.8750  6 Hg 2.80-2.81
3 Hg 0.8750 0.3750 0.3750  6 Hg 2.80-2.81
4 Hg 0.3750 0.8750 0.3750  6 Hg 2.80-2.81
5 Mo 0.7500 0.7500 0.7500  12 Hg 3.29, 4 P 3.44
6 P 0.0000 0.0000 0.0000  12 Hg 3.29, 4 Mo 3.44



Record 10
HgMoP2 at its PBEsol-relaxed geometry. Source: Alexandria, functional SCAN.

Values from the calculation:
* formation energy: 211 meV/atom

Unit cell a=3.1179 b=4.4146 c=5.2017 alpha=96.24 beta=90.00 gamma=110.68
Last column: nearest neighbours and their distance in Å.
Fractional coordinates of all 4 atoms:
1 Hg 0.0000 0.0000 0.5000  2 P 2.66
2 Mo 0.5000 0.0000 0.0000  6 P 2.48-2.55
3 P 0.7785 0.5570 0.8317  2 P 2.43, 3 Mo 2.48-2.55, 1 Hg 2.66
4 P 0.2215 0.4430 0.1683  2 P 2.43, 3 Mo 2.48-2.55, 1 Hg 2.66



Record 11
Hg2MoP at its PBEsol-relaxed geometry. Source: Alexandria, functional SCAN.

Values from the calculation:
* energy above the lowest structure with this stoichiometry: 1.652 eV/f.u.
* formation energy: 700 meV/atom

Unit cell a=3.8119 b=3.8119 c=4.8457 alpha=90.00 beta=90.00 gamma=90.00
Last column: nearest neighbours and their distance in Å.
Fractional coordinates of all 4 atoms:
1 Hg 0.0000 0.5000 0.0000  4 Hg 2.70
2 Hg 0.5000 0.0000 0.0000  4 Hg 2.70
3 Mo 0.5000 0.5000 0.5000  4 P 2.70
4 P 0.0000 0.0000 0.5000  4 Mo 2.70



Record 12
HgMo2P at its PBEsol-relaxed geometry. Source: Alexandria, functional SCAN.

Values from the calculation:
* energy above the lowest structure with this stoichiometry: 2.025 eV/f.u.
* formation energy: 625 meV/atom

Unit cell a=3.8736 b=3.8736 c=4.9808 alpha=112.88 beta=112.88 gamma=90.00
Last column: nearest neighbours and their distance in Å.
Fractional coordinates of all 4 atoms:
1 Hg 0.2500 0.7500 0.5000  8 Mo 2.74-2.84, 4 P 2.84
2 Mo 0.0000 0.0000 0.0000  4 P 2.74, 4 Mo 2.84, 4 Hg 2.84
3 Mo 0.7500 0.2500 0.5000  4 Hg 2.74, 4 Mo 2.84, 4 P 2.84
4 P 0.5000 0.5000 0.0000  8 Mo 2.74-2.84, 4 Hg 2.84



| no. | magnetic moment (μB/cell) | calculated total energy (eV/f.u.) |
| --- | --- | --- |
| 1 | 0.0 | -176.62 |
| 2 | 0.0 | -192.12 |
| 3 | 0.0 | -239.35 |
| 4 | 0.0 | -239.66 |
| 5 | 0.5 | -239.96 |
| 6 | 0.0 | -179.99 |
| 7 | 0.0 | -178.44 |
| 8 | 0.0 | -178.97 |
| 9 | 3.0 | -312.26 |
| 10 | 0.0 | -123.00 |
| 11 | 1.9 | -178.82 |
| 12 | 0.0 | -145.84 |